No. 1
# Tl2InNiBi (PBE, relaxed)
# formation energy from the elements = 0.14 eV per atom
# total moment = 0.00 μB/f.u.
# space group = P4/mmm (123)
# V = 27.25 A^3/atom
data_Tl2InNiBi
_cell_length_a 5.115
_cell_length_b 5.115
_cell_length_c 5.207
_cell_angle_alpha 90.00
_cell_angle_beta 90.00
_cell_angle_gamma 90.00
_symmetry_space_group_name_H-M 'P 1'
_symmetry_Int_Tables_number 1
_symmetry_space_group_name_Hall 'P 1'
loop_
_atom_site_label
_atom_site_type_symbol
_atom_site_fract_x
_atom_site_fract_y
_atom_site_fract_z
Ni1 Ni 0.000 0.000 0.000
Tl1 Tl 0.000 0.500 0.000
Tl2 Tl 0.500 0.000 0.000
Bi1 Bi 0.500 0.500 0.500
In1 In 0.000 0.000 0.500

---

No. 2
# TlInNiBi2 (PBE, relaxed)
# formation energy from the elements = 0.84 eV per atom
# total moment = 0.00 μB/f.u.
# energy above the most stable polymorph in this dataset = 3.648 eV/f.u.
# space group = P4/mmm (123)
# V = 30.76 A^3/atom
data_TlInNiBi2
_cell_length_a 5.699
_cell_length_b 4.735
_cell_length_c 5.699
_cell_angle_alpha 90.00
_cell_angle_beta 90.00
_cell_angle_gamma 90.00
_symmetry_space_group_name_H-M 'P 1'
_symmetry_Int_Tables_number 1
_symmetry_space_group_name_Hall 'P 1'
loop_
_atom_site_label
_atom_site_type_symbol
_atom_site_fract_x
_atom_site_fract_y
_atom_site_fract_z
Ni1 Ni 0.000 0.500 0.000
Tl1 Tl 0.000 0.000 0.000
Bi1 Bi 0.000 0.000 0.500
Bi2 Bi 0.500 0.000 0.000
In1 In 0.500 0.500 0.500

---

No. 3
# ZnIn2NiBi (PBE, relaxed)
# formation energy from the elements = 0.12 eV per atom
# total moment = 0.00 μB/f.u.
# space group = P4/mmm (123)
# V = 23.84 A^3/atom
data_ZnIn2NiBi
_cell_length_a 5.016
_cell_length_b 5.016
_cell_length_c 4.736
_cell_angle_alpha 90.00
_cell_angle_beta 90.00
_cell_angle_gamma 90.00
_symmetry_space_group_name_H-M 'P 1'
_symmetry_Int_Tables_number 1
_symmetry_space_group_name_Hall 'P 1'
loop_
_atom_site_label
_atom_site_type_symbol
_atom_site_fract_x
_atom_site_fract_y
_atom_site_fract_z
Ni1 Ni 0.000 0.000 0.000
Zn1 Zn 0.000 0.000 0.500
Bi1 Bi 0.500 0.500 0.500
In1 In 0.000 0.500 0.000
In2 In 0.500 0.000 0.000

---

What did the second record say?
# TlInNiBi2 (PBE, relaxed)
# formation energy from the elements = 0.84 eV per atom
# total moment = 0.00 μB/f.u.
# energy above the most stable polymorph in this dataset = 3.648 eV/f.u.
# space group = P4/mmm (123)
# V = 30.76 A^3/atom
data_TlInNiBi2
_cell_length_a 5.699
_cell_length_b 4.735
_cell_length_c 5.699
_cell_angle_alpha 90.00
_cell_angle_beta 90.00
_cell_angle_gamma 90.00
_symmetry_space_group_name_H-M 'P 1'
_symmetry_Int_Tables_number 1
_symmetry_space_group_name_Hall 'P 1'
loop_
_atom_site_label
_atom_site_type_symbol
_atom_site_fract_x
_atom_site_fract_y
_atom_site_fract_z
Ni1 Ni 0.000 0.500 0.000
Tl1 Tl 0.000 0.000 0.000
Bi1 Bi 0.000 0.000 0.500
Bi2 Bi 0.500 0.000 0.000
In1 In 0.500 0.500 0.500

---

Question: What is the V in the third record?
Answer: 23.84 A^3/atom

---

Question: The highest V belongs to which entry?
Answer: TlInNiBi2